# Sr4TaW GGA-PBE relaxed
# VASP energy = -80.74 eV/cell
# ΔH_f (0 K) = 1.89 eV per atom
# N(E_F) = 33.46 states/eV per cell
data_Sr4TaW
_chemical_formula_sum 'Sr16 Ta4 W4'
_space_group_name_H-M_alt 'F -4 3 m'
_space_group_IT_number 216
_space_group_name_Hall 'F -4 2 3'
_cell_length_a 9.476
_cell_length_b 9.476
_cell_length_c 9.476
_cell_angle_alpha 90.00
_cell_angle_beta 90.00
_cell_angle_gamma 90.00
loop_
_atom_site_label
_atom_site_type_symbol
_atom_site_fract_x
_atom_site_fract_y
_atom_site_fract_z
_atom_site_occupancy
Sr1 Sr 0.125 0.125 0.125 1
Ta1 Ta 0.250 0.250 0.750 1
W1 W 0.000 0.000 0.500 1